Entry 1:
DFT (PBE) results for a relaxed structure of Li2YPuS4.

POSCAR file:
```
Li2YPuS4
1.0
6.563 0.000 0.000
0.000 3.948 0.000
-2.390 0.000 6.395
Li Y Pu S
2 1 1 4
Direct
0.000 0.000 0.000
0.000 0.500 0.500
0.500 0.000 0.500
0.500 0.500 0.000
0.247 0.500 0.252
0.250 0.000 0.749
0.750 0.000 0.251
0.753 0.500 0.748
```

Calculated values
Symmetry = P2/m, No. 10
Crystal system = monoclinic



Entry 2:
DFT (PBE) results for a relaxed structure of NbSiW3.

POSCAR file:
```
NbSiW3
1.0
4.488 0.000 0.000
0.000 4.488 0.000
0.000 0.000 4.488
Nb Si W
1 1 3
Direct
0.000 0.000 0.000
0.500 0.500 0.500
0.000 0.500 0.500
0.500 0.000 0.500
0.500 0.500 0.000
```

Calculated values
E above lowest polymorph = 0.00 eV per formula unit
Symmetry = Pm-3m, No. 221
Crystal system = cubic



Record order is preserved below.
Size of the total moment: 5.0, 0.0 μB per formula unit
Record order is preserved below.
Raw formation energy: -1685, 1082 meV/atom